A plane-wave DFT calculation with PBE was carried out for a geometry-optimized Y3PtRh structure.

DFT formation energy: -0.89 eV/atom
size of the total moment: 0.00 μB per formula unit

Unit cell a=8.6509 b=7.2907 c=8.1702 alpha=90.00 beta=106.01 gamma=90.00
Last column: nearest neighbours and their distance in Å.
Space group P2_1/c (No. 14)
Asymmetric unit:
1 Y 0.0517 0.0016 0.2169 x4  4 Rh 2.79-3.00, 1 Pt 2.99
2 Y 0.2863 0.6508 0.1091 x4  3 Pt 2.83-3.02, 2 Rh 2.90-3.10
3 Y 0.3565 0.1868 0.9978 x4  1 Rh 2.78, 3 Pt 2.97-3.08
4 Pt 0.4089 0.5383 0.8116 x4  7 Y 2.83-3.08, 1 Pt 3.10
5 Rh 0.0599 0.1864 0.5219 x4  7 Y 2.78-3.10, 1 Rh 2.90